No. 1
! Mo2BrF, relaxed, DFT GGA+U; values from VASP
&SYSTEM
  ibrav = 0, nat = 4, ntyp = 3
/
ATOMIC_SPECIES
Mo 95.94 Mo.upf
Br 79.90 Br.upf
F 19.00 F.upf
ATOMIC_POSITIONS angstrom
Mo 1.766 1.766 1.766
Br 3.531 3.531 3.531
Mo 5.297 5.297 5.297
F 0.000 0.000 0.000
CELL_PARAMETERS angstrom
0.000 3.531 3.531
3.531 0.000 3.531
3.531 3.531 0.000
! Distance to the lowest polymorph of the same formula = 99 meV/atom
! Uncorrected energy = -4.183 eV/atom
! SG = Fm-3m, No. 225
! Crystal system = cubic



No. 2
! Mo3BrF, relaxed, DFT GGA+U; values from VASP
&SYSTEM
  ibrav = 0, nat = 5, ntyp = 3
/
ATOMIC_SPECIES
F 19.00 F.upf
Mo 95.94 Mo.upf
Br 79.90 Br.upf
ATOMIC_POSITIONS angstrom
F -1.784 -1.440 4.292
Mo -2.435 -1.351 0.374
Br 0.000 0.000 0.000
Mo 1.261 -1.785 1.764
Mo -0.611 1.697 2.154
CELL_PARAMETERS angstrom
-1.222 3.393 4.308
-4.869 -2.702 0.747
2.523 -3.571 3.529
! Uncorrected energy = -3.731 eV/atom
! SG = Pm-3m, No. 221
! Crystal system = cubic